1.
{
  "formula": "Ca3Ge3Au8",
  "functional": "GGA-PBEsol",
  "state": "optimized geometry",
  "lattice_angstrom": [[4.383, 0.000, 0.000], [0.000, 9.471, -0.027], [0.000, -0.261, 13.282]],
  "species": ["Ca", "Ca", "Ca", "Ca", "Ca", "Ca", "Ge", "Ge", "Ge", "Ge", "Ge", "Ge", "Au", "Au", "Au", "Au", "Au", "Au", "Au", "Au", "Au", "Au", "Au", "Au", "Au", "Au", "Au", "Au"],
  "frac_coords": [[0.500, 0.999, 0.814], [0.500, 0.001, 0.186], [0.000, 0.492, 0.685], [0.000, 0.508, 0.315], [0.000, 0.500, 0.000], [0.500, 0.000, 0.500], [0.500, 0.349, 0.818], [0.500, 0.651, 0.182], [0.000, 0.848, 0.690], [0.000, 0.152, 0.310], [0.000, 0.774, 0.878], [0.000, 0.226, 0.122], [0.500, 0.732, 0.640], [0.500, 0.268, 0.360], [0.000, 0.236, 0.864], [0.000, 0.764, 0.136], [0.500, 0.388, 0.163], [0.500, 0.612, 0.837], [0.000, 0.894, 0.339], [0.000, 0.106, 0.661], [0.500, 0.205, 0.997], [0.500, 0.795, 0.003], [0.000, 0.717, 0.505], [0.000, 0.283, 0.495], [0.500, 0.500, 0.500], [0.000, 0.000, 0.000], [0.500, 0.278, 0.630], [0.500, 0.722, 0.370]],
  "crystal_system": "monoclinic",
  "dft_energy_ev_per_atom": -4.29,
  "e_form_ev_per_atom": -0.529
}

=====

2.
{
  "formula": "Ba2MgN2",
  "functional": "GGA-PBEsol",
  "state": "optimized geometry",
  "lattice_angstrom": [[4.109, 0.000, 0.000], [0.000, 4.109, 0.000], [-2.055, -2.055, 6.928]],
  "species": ["Mg", "Ba", "Ba", "N", "N"],
  "frac_coords": [[0.000, 0.000, 0.000], [0.337, 0.337, 0.674], [0.663, 0.663, 0.326], [0.142, 0.142, 0.284], [0.858, 0.858, 0.716]],
  "crystal_system": "tetragonal",
  "formation_energy_uncorrected_mev_per_atom": -426,
  "dft_energy_ev_per_atom": -5.04
}

=====

3.
{
  "formula": "HgGeAs2F",
  "functional": "GGA-PBEsol",
  "state": "optimized geometry",
  "lattice_angstrom": [[-3.273, -2.964, -2.476], [3.176, -3.912, 0.484], [-2.324, -1.312, 4.642]],
  "species": ["As", "As", "Ge", "Hg", "F"],
  "frac_coords": [[0.000, 0.500, 0.000], [0.500, 0.000, 0.000], [0.000, 0.000, 0.500], [0.000, 0.000, 0.000], [0.500, 0.500, 0.500]],
  "crystal_system": "tetragonal",
  "formation_energy_uncorrected_mev_per_atom": 847,
  "dft_energy_ev_per_atom": -2.68
}